Record 1
The following is a DFT calculation (GGA-PBE) of a geometry-optimized LiSbHAu2 structure.

Values from the calculation:
E	-16.25	eV for the cell shown
space group	No. 123

a b c (Å): 4.272 4.272 4.333
angles (deg): 90.00 90.00 90.00
Fractional coordinates of all 5 atoms:
Li 0.000 0.000 0.000
Sb 0.500 0.500 0.000
H 0.000 0.000 0.500
Au 0.000 0.500 0.500
Au 0.500 0.000 0.500

Record 2
The following is a DFT calculation (GGA-PBE) of a geometry-optimized Li2SbHAu structure.

Values from the calculation:
space group	No. 123
excess energy over the best structure of this formula in the dataset	0	meV/atom

a b c (Å): 4.318 4.318 3.921
angles (deg): 90.00 90.00 90.00
Fractional coordinates of all 5 atoms:
Li 0.000 0.500 0.000
Li 0.500 0.000 0.000
Sb 0.000 0.000 0.500
H 0.500 0.500 0.000
Au 0.500 0.500 0.500

Record 3
The following is a DFT calculation (GGA-PBE) of a geometry-optimized Li2SbHAu structure.

Values from the calculation:
space group	No. 123
excess energy over the best structure of this formula in the dataset	128	meV/atom

a b c (Å): 4.178 4.178 4.311
angles (deg): 90.00 90.00 90.00
Fractional coordinates of all 5 atoms:
Li 0.000 0.500 0.000
Li 0.500 0.000 0.000
Sb 0.000 0.000 0.500
H 0.000 0.000 0.000
Au 0.500 0.500 0.500

Record 4
The following is a DFT calculation (GGA-PBE) of a geometry-optimized LiSc2HAu structure.

Values from the calculation:
E	-23.73	eV for the cell shown
space group	No. 123

a b c (Å): 4.594 4.594 3.646
angles (deg): 90.00 90.00 90.00
Fractional coordinates of all 5 atoms:
Li 0.000 0.000 0.000
Sc 0.000 0.500 0.500
Sc 0.500 0.000 0.500
H 0.000 0.000 0.500
Au 0.500 0.500 0.000

Record 5
The following is a DFT calculation (GGA-PBE) of a geometry-optimized Li2ScHAu structure.

Values from the calculation:
E	-19.09	eV for the cell shown
space group	No. 123

a b c (Å): 3.995 3.995 4.440
angles (deg): 90.00 90.00 90.00
Fractional coordinates of all 5 atoms:
Li 0.000 0.500 0.000
Li 0.500 0.000 0.000
Sc 0.000 0.000 0.500
H 0.000 0.000 0.000
Au 0.500 0.500 0.500

Record 6
The following is a DFT calculation (GGA-PBE) of a geometry-optimized Li2SnHAu structure.

Values from the calculation:
space group	No. 123
excess energy over the best structure of this formula in the dataset	0	meV/atom

a b c (Å): 4.264 4.264 3.931
angles (deg): 90.00 90.00 90.00
Fractional coordinates of all 5 atoms:
Li 0.000 0.500 0.000
Li 0.500 0.000 0.000
Sn 0.000 0.000 0.500
H 0.500 0.500 0.000
Au 0.500 0.500 0.500

| no. | total magnetic moment (Bohr magnetons per cell) | DOS at the Fermi energy (states/eV/f.u.) |
| --- | --- | --- |
| 1 | 0.00 | 1.93 |
| 2 | 0.00 | 1.62 |
| 3 | 0.00 | 2.28 |
| 4 | 0.00 | 3.80 |
| 5 | 0.00 | 2.30 |
| 6 | 0.00 | 1.75 |